No. 1
This record from the Alexandria database describes a geometry-optimized In3GaS structure. The functional is PBE-GGA. Values from VASP.

Cell and atoms, written as Quantum ESPRESSO input:
```
&SYSTEM
  ibrav = 0, nat = 5, ntyp = 3
/
ATOMIC_SPECIES
In 114.82 In.upf
Ga 69.72 Ga.upf
S 32.06 S.upf
ATOMIC_POSITIONS angstrom
In 0.000 0.000 2.702
In 0.000 2.702 0.000
In 2.702 0.000 0.000
Ga 2.702 2.702 2.702
S 0.000 0.000 0.000
CELL_PARAMETERS angstrom
5.404 0.000 0.000
0.000 5.404 0.000
0.000 0.000 5.404
```

Computed properties:
Raw formation energy   0.325 eV/atom
Fermi-level density of states   0.8736 states/eV/atom
Distance to the lowest polymorph of the same formula   7.9 kJ per mole of atoms
SG   No. 221



No. 2
This record from the Alexandria database describes a geometry-optimized Ba2BiCl8 structure. The functional is PBE-GGA. Values from VASP.

Cell and atoms, written as Quantum ESPRESSO input:
```
&SYSTEM
  ibrav = 0, nat = 11, ntyp = 3
/
ATOMIC_SPECIES
Ba 137.33 Ba.upf
Bi 208.98 Bi.upf
Cl 35.45 Cl.upf
ATOMIC_POSITIONS angstrom
Ba 2.609 0.000 1.226
Ba 13.006 0.000 5.507
Bi 7.807 0.000 3.366
Cl -0.476 0.000 1.974
Cl 2.071 0.000 5.486
Cl 5.001 0.000 3.645
Cl 7.064 0.000 0.643
Cl 8.551 0.000 6.090
Cl 10.614 0.000 3.088
Cl 13.544 0.000 1.246
Cl 16.091 0.000 4.758
CELL_PARAMETERS angstrom
9.067 -2.576 0.000
9.067 2.576 0.000
-2.520 0.000 6.733
```

Computed properties:
Raw formation energy   -1.603 eV/atom
Fermi-level density of states   0.6256 states/eV/atom
SG   No. 12



No. 3
This record from the Alexandria database describes a geometry-optimized Nd4Dy5In structure. The functional is PBE-GGA. Values from VASP.

Cell and atoms, written as Quantum ESPRESSO input:
```
&SYSTEM
  ibrav = 0, nat = 10, ntyp = 3
/
ATOMIC_SPECIES
Nd 144.24 Nd.upf
Dy 162.50 Dy.upf
In 114.82 In.upf
ATOMIC_POSITIONS angstrom
Nd 0.000 0.000 2.542
Nd 0.000 0.000 7.668
Nd 0.000 0.000 16.886
Nd 0.000 0.000 22.012
Dy 1.809 1.809 0.000
Dy 1.809 1.809 5.080
Dy 1.809 1.809 10.214
Dy 1.809 1.809 14.340
Dy 1.809 1.809 19.475
In 0.000 0.000 12.277
CELL_PARAMETERS angstrom
3.618 0.000 0.000
0.000 3.618 0.000
0.000 0.000 24.554
```

Computed properties:
Fermi-level density of states   1.3452 states/eV/atom
Distance to the lowest polymorph of the same formula   0.0 kJ per mole of atoms
SG   No. 123
Energy of formation from the pure elements   -0.8 eV per formula unit



No. 4
This record from the Alexandria database describes a geometry-optimized CsRbGeS structure. The functional is PBE-GGA. Values from VASP.

Cell and atoms, written as Quantum ESPRESSO input:
```
&SYSTEM
  ibrav = 0, nat = 4, ntyp = 4
/
ATOMIC_SPECIES
Cs 132.91 Cs.upf
Rb 85.47 Rb.upf
Ge 72.64 Ge.upf
S 32.06 S.upf
ATOMIC_POSITIONS angstrom
Cs 0.000 0.000 0.000
Rb 2.202 0.000 3.569
Ge 2.202 0.000 7.558
S 0.000 0.000 8.805
CELL_PARAMETERS angstrom
4.405 0.000 0.000
0.000 2.708 6.257
0.000 -2.708 6.257
```

Computed properties:
Raw formation energy   -0.417 eV/atom
Fermi-level density of states   0.6323 states/eV/atom
Distance to the lowest polymorph of the same formula   5.2 kJ per mole of atoms
SG   No. 38



No. 5
This record from the Alexandria database describes a geometry-optimized NaPRuO6 structure. The functional is PBE-GGA. Values from VASP.

Cell and atoms, written as Quantum ESPRESSO input:
```
&SYSTEM
  ibrav = 0, nat = 9, ntyp = 4
/
ATOMIC_SPECIES
Na 22.99 Na.upf
P 30.97 P.upf
Ru 101.07 Ru.upf
O 16.00 O.upf
ATOMIC_POSITIONS angstrom
Na 0.000 0.000 0.000
P 2.450 1.414 2.607
Ru 0.000 2.829 2.607
O 1.858 0.144 3.603
O 1.053 1.537 1.612
O 3.042 0.144 1.612
O 1.645 2.562 3.603
O 3.847 1.537 3.603
O 3.255 2.562 1.612
CELL_PARAMETERS angstrom
4.900 0.000 0.000
-2.450 4.243 0.000
0.000 0.000 5.215
```

Computed properties:
Raw formation energy   -1.392 eV/atom
Fermi-level density of states   0.4334 states/eV/atom
SG   No. 149



No. 6
This record from the Alexandria database describes a geometry-optimized Dy2AuI2 structure. The functional is PBE-GGA. Values from VASP.

Cell and atoms, written as Quantum ESPRESSO input:
```
&SYSTEM
  ibrav = 0, nat = 5, ntyp = 3
/
ATOMIC_SPECIES
Dy 162.50 Dy.upf
Au 196.97 Au.upf
I 126.90 I.upf
ATOMIC_POSITIONS angstrom
Dy 0.000 0.000 4.195
Dy 0.000 0.000 31.423
Au 0.000 0.000 17.809
I 0.000 0.000 9.775
I 0.000 0.000 25.843
CELL_PARAMETERS angstrom
2.052 1.185 11.873
-2.052 1.185 11.873
0.000 -2.369 11.873
```

Computed properties:
Raw formation energy   -1.082 eV/atom
Fermi-level density of states   0.7925 states/eV/atom
SG   No. 166